Material: SrSiRh
Method: DFT, PBE
State: relaxed

Results
The raw formation energy is -0.077 eV/atom. The magnetization is 0.00 μB/cell. The total energy is -14.69 eV/cell.

Cell lengths 4.596, 4.596, 4.596 Å; angles 60.00, 60.00, 60.00 degrees
Positions (direct):
1 Si 0.000 0.000 0.000
2 Sr 0.500 0.500 0.500
3 Rh 0.750 0.750 0.750

=====

Material: SrSiRh
Method: DFT, PBE
State: relaxed

Results
The raw formation energy is 0.842 eV/atom. The magnetization is 0.00 μB/cell. The total energy is -11.93 eV/cell.

Cell lengths 4.789, 4.789, 4.789 Å; angles 60.00, 60.00, 60.00 degrees
Positions (direct):
1 Rh 0.000 0.000 0.000
2 Sr 0.750 0.750 0.750
3 Si 0.500 0.500 0.500

=====

Material: SrSiRh2
Method: DFT, PBE
State: relaxed

Results
The raw formation energy is -0.215 eV/atom. The magnetization is 0.00 μB/cell. The total energy is -22.67 eV/cell.

Cell lengths 3.004, 3.794, 6.542 Å; angles 90.00, 90.00, 90.00 degrees
Positions (direct):
1 Rh 0.000 0.000 0.047
2 Rh 0.500 0.500 0.293
3 Si 0.000 0.000 0.401
4 Sr 0.500 0.500 0.759

=====

Material: SrSiRh2
Method: DFT, PBE
State: relaxed

Results
The raw formation energy is -0.162 eV/atom. The magnetization is 0.00 μB/cell. The total energy is -22.45 eV/cell.

Cell lengths 4.601, 4.601, 4.601 Å; angles 60.00, 60.00, 60.00 degrees
Positions (direct):
1 Rh 0.750 0.750 0.750
2 Rh 0.250 0.250 0.250
3 Sr 0.500 0.500 0.500
4 Si 0.000 0.000 0.000

=====

Material: SrSiRh2
Method: DFT, PBE
State: relaxed

Results
The raw formation energy is -0.554 eV/atom. The magnetization is 0.00 μB/cell. The total energy is -48.05 eV/cell.

Cell lengths 4.161, 4.161, 9.285 Å; angles 90.00, 90.00, 90.00 degrees
Positions (direct):
1 Rh 0.000 0.000 0.500
2 Rh 0.000 0.500 0.126
3 Rh 0.500 0.500 0.500
4 Rh 0.500 0.000 0.874
5 Sr 0.500 0.000 0.206
6 Sr 0.000 0.500 0.794
7 Si 0.000 0.500 0.370
8 Si 0.500 0.000 0.630

=====

Material: SrSiRh2
Method: DFT, PBE
State: relaxed

Results
The raw formation energy is -0.419 eV/atom. The magnetization is 0.00 μB/cell. The total energy is -23.48 eV/cell.

Cell lengths 3.044, 3.044, 7.435 Å; angles 90.00, 90.00, 90.03 degrees
Positions (direct):
1 Si 0.500 0.500 0.250
2 Rh 0.000 0.000 0.435
3 Rh 0.000 0.000 0.065
4 Sr 0.500 0.500 0.750

=====

Material: SrSiRh
Method: DFT, PBE
State: relaxed

Results
The raw formation energy is -0.485 eV/atom. The magnetization is 0.00 μB/cell. The total energy is -15.91 eV/cell.

Cell lengths 6.068, 6.068, 6.068 Å; angles 148.54, 148.52, 45.11 degrees
Positions (direct):
1 Si 0.376 0.376 0.000
2 Sr 0.667 0.667 0.000
3 Rh 0.957 0.957 0.000

=====

Material: Sr2Si2Rh
Method: DFT, PBE
State: relaxed

Results
The raw formation energy is -0.402 eV/atom. The magnetization is 0.00 μB/cell. The total energy is -47.15 eV/cell.

Cell lengths 6.770, 6.770, 4.894 Å; angles 90.00, 90.00, 90.00 degrees
Positions (direct):
1 Sr 0.178 0.678 0.500
2 Sr 0.822 0.322 0.500
3 Sr 0.678 0.822 0.500
4 Sr 0.322 0.178 0.500
5 Si 0.869 0.631 0.000
6 Si 0.631 0.131 0.000
7 Si 0.131 0.369 0.000
8 Si 0.369 0.869 0.000
9 Rh 0.500 0.500 0.000
10 Rh 0.000 0.000 0.000

=====

Material: SrSiRh2
Method: DFT, PBE
State: relaxed

Results
The raw formation energy is 0.050 eV/atom. The magnetization is 0.00 μB/cell. The total energy is -21.61 eV/cell.

Cell lengths 3.112, 5.397, 5.466 Å; angles 50.65, 90.00, 90.00 degrees
Positions (direct):
1 Si 0.500 0.500 0.500
2 Rh 0.500 0.500 0.000
3 Rh 0.000 0.000 0.000
4 Sr 0.000 0.000 0.500

=====

Material: SrSiRh2
Method: DFT, PBE
State: relaxed

Results
The raw formation energy is -0.283 eV/atom. The magnetization is 0.00 μB/cell. The total energy is -45.88 eV/cell.

Cell lengths 4.985, 4.985, 8.510 Å; angles 72.97, 72.97, 90.00 degrees
Positions (direct):
1 Rh 0.375 0.559 0.750
2 Rh 0.309 0.625 0.250
3 Rh 0.441 0.125 0.250
4 Rh 0.875 0.691 0.750
5 Si 0.500 0.500 0.000
6 Si 0.250 0.750 0.500
7 Sr 0.000 0.000 0.000
8 Sr 0.750 0.250 0.500

=====

Material: Sr2SiRh
Method: DFT, PBE
State: relaxed

Results
The raw formation energy is -0.556 eV/atom. The magnetization is 0.00 μB/cell. The total energy is -18.36 eV/cell.

Cell lengths 4.192, 4.192, 8.647 Å; angles 75.97, 75.97, 60.00 degrees
Positions (direct):
1 Sr 0.477 0.477 0.570
2 Sr 0.304 0.304 0.089
3 Si 0.057 0.057 0.829
4 Rh 0.723 0.723 0.830

=====

Material: SrSiRh2
Method: DFT, PBE
State: relaxed

Results
The raw formation energy is 0.001 eV/atom. The magnetization is 0.00 μB/cell. The total energy is -21.80 eV/cell.

Cell lengths 5.405, 5.405, 5.405 Å; angles 137.76, 137.76, 61.27 degrees
Positions (direct):
1 Si 0.500 0.500 0.000
2 Rh 0.000 0.000 0.000
3 Rh 0.250 0.750 0.500
4 Sr 0.750 0.250 0.500